Computed, not measured: crystalline Pm2Pr3Sb3 at its relaxed geometry at the PBE-GGA level of DFT.

Structure (POSCAR):
```
Pm2Pr3Sb3
1.0
-4.294 -0.042 4.933
6.331 -4.172 5.475
-0.471 9.335 -0.331
Pr Pm Sb
6 4 6
Cartesian
0.392 1.281 2.520
-1.637 -1.075 5.069
-1.426 6.990 0.985
3.674 -3.139 5.339
-3.338 2.304 3.617
1.174 3.840 7.558
1.917 0.309 6.007
1.797 4.833 1.605
-0.350 4.812 4.071
4.064 0.330 3.540
-3.508 5.675 3.498
-0.942 1.976 5.700
1.388 -1.632 3.362
2.509 3.145 4.378
0.650 -2.582 7.047
-1.256 3.618 1.105
```

Properties
The space group is No. 193. As for the crystal system: hexagonal. Its total energy is -5.499 eV per atom. The uncorrected formation energy is -94 kJ/mol of atoms. The volume comes out at 31.0 A^3/atom.